Density functional theory data (PBE-GGA) for a geometry-optimized EuLuMg structure.

Geometry as POSCAR:
```
EuLuMg
1.0
3.369 0.000 0.000
0.000 5.570 0.000
0.000 -2.785 4.824
Eu Mg Lu
1 1 1
direct
0.690 0.333 0.667
0.006 0.000 0.000
0.304 0.667 0.333
```

Calculated total energy: -5.37 eV/atom
Formation enthalpy at 0 K: 0.0967 eV per atom
Excess energy over the best structure of this formula in the dataset: 73 meV/atom
Crystal system: trigonal
Symmetry: P3m1 (156)